(1)
The following is a GGA-PBE calculation of K2ScCr after structural relaxation, from the Alexandria database.

Output
- raw total energy (eV per atom) = -3.8777
- energy of formation from the pure elements (eV per formula unit) = 2.64
- calculated density (g/cm³) = 1.823
- volume (Å³ per cell) = 319.2

```
data_K2ScCr
_chemical_formula_sum 'K4 Sc2 Cr2'
_cell_length_a 21.385
_cell_length_b 3.498
_cell_length_c 4.359
_cell_angle_alpha 90.00
_cell_angle_beta 101.76
_cell_angle_gamma 90.00
_symmetry_space_group_name_H-M 'P 1'
_symmetry_Int_Tables_number 1
_symmetry_space_group_name_Hall 'P 1'
loop_
_atom_site_label
_atom_site_fract_x
_atom_site_fract_y
_atom_site_fract_z
K1 0.154 0.000 0.156
K2 0.346 0.500 0.844
K3 0.654 0.500 0.156
K4 0.846 0.000 0.844
Sc1 0.000 0.000 0.500
Sc2 0.500 0.500 0.500
Cr1 0.000 0.500 0.000
Cr2 0.500 0.000 0.000
```

***

(2)
The following is a GGA-PBE calculation of K2ScCr after structural relaxation, from the Alexandria database.

Output
- raw total energy (eV per atom) = -3.5755
- energy of formation from the pure elements (eV per formula unit) = 3.85
- calculated density (g/cm³) = 2.160
- volume (Å³ per cell) = 134.6

```
data_K2ScCr
_chemical_formula_sum 'K2 Sc1 Cr1'
_cell_length_a 4.619
_cell_length_b 4.619
_cell_length_c 6.311
_cell_angle_alpha 90.00
_cell_angle_beta 90.00
_cell_angle_gamma 90.00
_symmetry_space_group_name_H-M 'P 1'
_symmetry_Int_Tables_number 1
_symmetry_space_group_name_Hall 'P 1'
loop_
_atom_site_label
_atom_site_fract_x
_atom_site_fract_y
_atom_site_fract_z
K1 0.000 0.500 0.000
K2 0.500 0.000 0.000
Sc1 0.000 0.000 0.500
Cr1 0.500 0.500 0.500
```